Entry 1:
## PuZn4Pd15 (PBE-GGA)

Data for a relaxed PuZn4Pd15 crystal.

a b c (Å): 4.0197 4.0197 19.2719
angles (deg): 90.00 90.00 90.00
Sites, in units of the cell vectors:
Zn 0.0000 0.0000 0.2101
Zn 0.0000 0.0000 0.7899
Zn 0.0000 0.0000 0.5972
Zn 0.0000 0.0000 0.4028
Pd 0.5000 0.5000 0.4037
Pd 0.0000 0.5000 0.3067
Pd 0.5000 0.0000 0.3067
Pd 0.0000 0.5000 0.6933
Pd 0.5000 0.5000 0.0000
Pd 0.5000 0.0000 0.1094
Pd 0.5000 0.0000 0.6933
Pd 0.0000 0.5000 0.1094
Pd 0.5000 0.0000 0.5000
Pd 0.0000 0.5000 0.8906
Pd 0.5000 0.5000 0.5963
Pd 0.5000 0.0000 0.8906
Pd 0.5000 0.5000 0.2083
Pd 0.0000 0.5000 0.5000
Pd 0.5000 0.5000 0.7917
Pu 0.0000 0.0000 0.0000

* space-group type: P4/mmm, No. 123
* total magnetic moment: 4.14 Bohr magnetons per cell
* formation energy: -0.344 eV per atom

***

Entry 2:
## PuZnPd (PBE-GGA)

Data for a relaxed PuZnPd crystal.

a b c (Å): 3.0366 4.6978 4.6978
angles (deg): 120.00 90.00 90.00
Sites, in units of the cell vectors:
Zn 0.1662 0.0000 0.0000
Pu 0.6666 0.6667 0.3333
Pd 0.1671 0.3333 0.6667

* space-group type: P-6m2, No. 187
* total magnetic moment: 5.84 Bohr magnetons per cell
* formation energy: -0.376 eV per atom

***

Entry 3:
## Pu4Zn2Pd5 (PBE-GGA)

Data for a relaxed Pu4Zn2Pd5 crystal.

a b c (Å): 5.4570 8.7934 10.5404
angles (deg): 114.65 105.00 90.00
Sites, in units of the cell vectors:
Zn 0.9465 0.6965 0.3930
Zn 0.0535 0.3035 0.6070
Zn 0.5535 0.3035 0.6070
Zn 0.4465 0.6965 0.3930
Pd 0.9253 0.5131 0.8506
Pd 0.2500 0.0000 0.0000
Pd 0.7200 0.4219 0.4400
Pd 0.2200 0.0181 0.4400
Pd 0.5747 0.6625 0.1494
Pd 0.7500 0.0000 0.0000
Pd 0.0747 0.4869 0.1494
Pd 0.4253 0.3375 0.8506
Pd 0.2800 0.5781 0.5600
Pd 0.7800 0.9819 0.5600
Pu 0.9333 0.1996 0.8665
Pu 0.4333 0.6669 0.8665
Pu 0.6479 0.0307 0.2958
Pu 0.8521 0.7350 0.7042
Pu 0.3521 0.9693 0.7042
Pu 0.1479 0.2650 0.2958
Pu 0.5667 0.3331 0.1335
Pu 0.0667 0.8004 0.1335

* space-group type: Ibam, No. 72
* total magnetic moment: 44.34 Bohr magnetons per cell
* formation energy: -0.396 eV per atom

***

Entry 4:
## PuZn2Pd (PBE-GGA)

Data for a relaxed PuZn2Pd crystal.

a b c (Å): 3.1010 3.1010 7.4115
angles (deg): 90.00 90.00 90.00
Sites, in units of the cell vectors:
Zn 0.0000 0.0000 0.7993
Zn 0.0000 0.0000 0.2007
Pd 0.5000 0.5000 0.0000
Pu 0.5000 0.5000 0.5000

* space-group type: P4/mmm, No. 123
* total magnetic moment: 5.74 Bohr magnetons per cell
* formation energy: -0.321 eV per atom

***

Entry 5:
## Pu3Zn8Pd (PBE-GGA)

Data for a relaxed Pu3Zn8Pd crystal.

a b c (Å): 5.3390 5.3390 9.3014
angles (deg): 73.32 73.32 60.00
Sites, in units of the cell vectors:
Pu 0.6250 0.6250 0.1251
Pu 0.9990 0.9990 0.0031
Pu 0.5002 0.5002 0.4993
Zn 0.8112 0.8112 0.5663
Zn 0.5641 0.0657 0.8062
Zn 0.0632 0.0632 0.3210
Zn 0.0632 0.5527 0.3210
Zn 0.3136 0.3136 0.0593
Zn 0.0657 0.5641 0.8062
Zn 0.5641 0.5641 0.8062
Zn 0.5527 0.0632 0.3210
Pd 0.1282 0.1282 0.6154

* space-group type: R3m, No. 160
* total magnetic moment: 5.72 Bohr magnetons per cell
* formation energy: -0.172 eV per atom

***

Entry 6:
## PuZn2Pd (PBE-GGA)

Data for a relaxed PuZn2Pd crystal.

a b c (Å): 2.9236 2.9236 9.5103
angles (deg): 81.16 81.16 60.00
Sites, in units of the cell vectors:
Zn 0.2608 0.2608 0.2175
Zn 0.7392 0.7392 0.7825
Pu 0.5000 0.5000 0.5000
Pd 0.0000 0.0000 0.0000

* space-group type: R-3m, No. 166
* total magnetic moment: 4.71 Bohr magnetons per cell
* formation energy: -0.165 eV per atom